[1]
First-principles (PBE) data for crystalline NdAg2Sn2 at its relaxed geometry, as listed in Alexandria via LeMat-Bulk.

The space group is P2_1/m (No. 11) and the conventional cell measures 4.588, 4.589 and 11.693 Å, with angles of 90.00, 90.05 and 90.00 degrees. The inequivalent atoms are Nd at (0.249, 0.250, 0.264), Ag at (0.251, 0.750, 0.500), Ag at (0.252, 0.250, 0.859), Sn at (0.248, 0.750, 0.000) and Sn at (0.250, 0.250, 0.634).

As for the crystal system: monoclinic. Its energy of formation from the pure elements is -348 meV/atom. As for the calculated total energy: -20.22 eV per formula unit. The total moment comes out at 0.00 μB/cell.

***

[2]
First-principles (PBE) data for crystalline Tb2Ga4Ni3Pd at its relaxed geometry, as listed in Alexandria via LeMat-Bulk.

The space group is P-4m2 (No. 115) and the conventional cell measures 4.000, 4.000 and 10.593 Å, with angles of 90.00, 90.00 and 90.00 degrees. The inequivalent atoms are Tb at (0.000, 0.500, 0.237), Ga at (0.000, 0.000, 0.000), Ga at (0.000, 0.500, 0.640), Ga at (0.500, 0.500, 0.000), Ni at (0.000, 0.500, 0.865), Ni at (0.500, 0.500, 0.500) and Pd at (0.000, 0.000, 0.500).

As for the crystal system: tetragonal. Its energy of formation from the pure elements is -635 meV/atom. As for the calculated total energy: -50.26 eV per formula unit. The total moment comes out at 0.00 μB/cell.

***

[3]
First-principles (PBE) data for crystalline NbBPd at its relaxed geometry, as listed in Alexandria via LeMat-Bulk.

The space group is Fddd (No. 70, origin choice 2) and the conventional cell measures 7.874, 7.929 and 10.997 Å, with angles of 90.00, 90.00 and 90.00 degrees. The inequivalent atoms are Nb at (0.125, 0.125, 0.266), B at (0.125, 0.333, 0.125) and Pd at (0.000, 0.000, 0.500).

As for the crystal system: orthorhombic. Its energy of formation from the pure elements is -134 meV/atom. As for the calculated total energy: -22.34 eV per formula unit. The total moment comes out at 0.00 μB/cell.

***

[4]
First-principles (PBE) data for crystalline BaAlIr2 at its relaxed geometry, as listed in Alexandria via LeMat-Bulk.

The space group is R-3m (No. 166, hexagonal axes) and the conventional cell measures 4.4664, 4.4664 and 17.4130 Å, with angles of 90.00, 90.00 and 120.00 degrees. The inequivalent atoms are Ba at (0.0000, 0.0000, 0.0000), Al at (0.0000, 0.0000, 0.5000) and Ir at (0.0000, 0.0000, 0.1787).

As for the crystal system: trigonal. Its energy of formation from the pure elements is -383 meV/atom. As for the calculated total energy: -24.92 eV per formula unit. The calculation puts the energy above the most stable polymorph in this dataset at 0 meV per atom. The total moment comes out at 0.00 μB/cell.

***

[5]
First-principles (PBE) data for crystalline Ac4Se at its relaxed geometry, as listed in Alexandria via LeMat-Bulk.

The space group is Pm-3m (No. 221) and the conventional cell measures 6.060, 6.060 and 6.060 Å, with angles of 90.00, 90.00 and 90.00 degrees. The inequivalent atoms are Ac at (0.000, 0.000, 0.000), Ac at (0.000, 0.500, 0.500) and Se at (0.500, 0.500, 0.500).

As for the crystal system: cubic. As for the calculated total energy: -22.81 eV per formula unit. The total moment comes out at 0.00 μB/cell.

***

[6]
First-principles (PBE) data for crystalline ZrOsSe2 at its relaxed geometry, as listed in Alexandria via LeMat-Bulk.

The space group is Imm2 (No. 44) and the conventional cell measures 3.267, 4.489 and 9.738 Å, with angles of 90.00, 90.00 and 90.00 degrees. The inequivalent atoms are Zr at (0.000, 0.000, 0.000), Os at (0.000, 0.500, 0.228), Se at (0.000, 0.000, 0.533) and Se at (0.000, 0.500, 0.752).

As for the crystal system: orthorhombic. As for the calculated total energy: -27.59 eV per formula unit. The calculation puts the energy above the most stable polymorph in this dataset at 319 meV per atom. The total moment comes out at 0.00 μB/cell.

***

[7]
First-principles (PBE) data for crystalline SnPtC3 at its relaxed geometry, as listed in Alexandria via LeMat-Bulk.

The space group is Pm-3m (No. 221) and the conventional cell measures 4.224, 4.224 and 4.224 Å, with angles of 90.00, 90.00 and 90.00 degrees. The inequivalent atoms are Sn at (0.000, 0.000, 0.000), Pt at (0.500, 0.500, 0.500) and C at (0.000, 0.000, 0.500).

As for the crystal system: cubic. Its energy of formation from the pure elements is 3134 meV/atom. As for the calculated total energy: -22.05 eV per formula unit. The calculation puts the energy above the most stable polymorph in this dataset at 824 meV per atom. The total moment comes out at 0.00 μB/cell.

***

[8]
First-principles (PBE) data for crystalline EuDyHg at its relaxed geometry, as listed in Alexandria via LeMat-Bulk.

The space group is I4mm (No. 107) and the conventional cell measures 3.790, 3.790 and 12.959 Å, with angles of 90.00, 90.00 and 90.00 degrees. The inequivalent atoms are Eu at (0.000, 0.000, 0.000), Dy at (0.000, 0.000, 0.287) and Hg at (0.000, 0.000, 0.663).

As for the crystal system: tetragonal. Its energy of formation from the pure elements is -295 meV/atom. As for the calculated total energy: -16.06 eV per formula unit. The calculation puts the energy above the most stable polymorph in this dataset at 0 meV per atom. The total moment comes out at 15.13 μB/cell.

***

[9]
First-principles (PBE) data for crystalline LiPrNdO2 at its relaxed geometry, as listed in Alexandria via LeMat-Bulk.

The space group is C2/m (No. 12) and the conventional cell measures 5.966, 4.776 and 6.051 Å, with angles of 90.00, 110.48 and 90.00 degrees. The inequivalent atoms are Li at (0.000, 0.000, 0.000), Pr at (0.000, 0.500, 0.000), Nd at (0.000, 0.000, 0.500) and O at (0.241, 0.500, 0.726).

As for the crystal system: monoclinic. As for the calculated total energy: -28.92 eV per formula unit. The calculation puts the energy above the most stable polymorph in this dataset at 501 meV per atom. The total moment comes out at 0.00 μB/cell.

***

Q: The lowest calculated total energy belongs to which entry?
A: Tb2Ga4Ni3Pd

***

Q: The highest total moment belongs to which entry?
A: EuDyHg

***

Q: calculated total energy of number 7 (SnPtC3)?
A: -22.05 eV per formula unit

***

Q: What is the formula in the sixth record?
A: ZrOsSe2